DFT (PBE+U) results for crystalline CrTc2F at its relaxed geometry. Values from VASP.

Quantum ESPRESSO input file:
```
&SYSTEM
  ibrav = 0, nat = 8, ntyp = 3
/
ATOMIC_SPECIES
Cr 52.00 Cr.upf
Tc 98.00 Tc.upf
F 19.00 F.upf
ATOMIC_POSITIONS crystal
Cr 0.000 0.000 0.000
Cr 0.750 0.250 0.500
Tc 0.150 0.625 0.025
Tc 0.375 0.400 0.525
Tc 0.600 0.125 0.975
Tc 0.875 0.850 0.475
F 0.250 0.750 0.500
F 0.500 0.500 0.000
CELL_PARAMETERS angstrom
-3.135 3.135 2.724
3.135 -3.135 2.724
3.135 3.135 -2.724
```

Computed properties:
Space-group type = I-42d (122)
Raw total energy = -6.570 eV/atom